No. 1
First-principles (GGA-PBE) data for an optimized crystal structure of Hf2ZrSi, as listed in Alexandria via LeMat-Bulk.

a = 5.275 Å, b = 5.378 Å, c = 6.156 Å
α = 75.08°, β = 89.47°, γ = 75.01°
Fractional positions:
Hf1 0.189 0.188 0.074
Hf2 0.255 0.013 0.622
Hf3 0.745 0.987 0.378
Hf4 0.811 0.812 0.926
Zr1 0.355 0.616 0.249
Zr2 0.645 0.384 0.751
Si1 0.109 0.542 0.656
Si2 0.891 0.458 0.344

Output
magnetic moment	0.00	μB/atom
ΔE_f (raw)	-1.9	eV per formula unit
symmetry	P-1 (2)


No. 2
First-principles (GGA-PBE) data for an optimized crystal structure of SrPr12Dy6, as listed in Alexandria via LeMat-Bulk.

a = 8.981 Å, b = 8.981 Å, c = 8.981 Å
α = 98.37°, β = 98.37°, γ = 98.37°
Fractional positions:
Sr1 0.000 0.000 0.000
Pr1 0.086 0.359 0.359
Pr2 0.238 0.500 0.762
Pr3 0.238 0.762 0.500
Pr4 0.359 0.086 0.359
Pr5 0.359 0.359 0.086
Pr6 0.500 0.238 0.762
Pr7 0.500 0.762 0.238
Pr8 0.641 0.641 0.914
Pr9 0.641 0.914 0.641
Pr10 0.762 0.238 0.500
Pr11 0.762 0.500 0.238
Pr12 0.914 0.641 0.641
Dy1 0.100 0.100 0.653
Dy2 0.100 0.653 0.100
Dy3 0.347 0.900 0.900
Dy4 0.653 0.100 0.100
Dy5 0.900 0.347 0.900
Dy6 0.900 0.900 0.347

Output
magnetic moment	0.00	μB/atom
total energy	-83.03	eV/cell
symmetry	R-3m (166)


No. 3
First-principles (GGA-PBE) data for an optimized crystal structure of BeHg2Os, as listed in Alexandria via LeMat-Bulk.

a = 5.673 Å, b = 9.660 Å, c = 2.939 Å
α = 90.00°, β = 120.53°, γ = 90.00°
Fractional positions:
Be1 0.000 0.000 0.000
Be2 0.500 0.500 0.000
Hg1 0.250 0.250 0.000
Hg2 0.250 0.750 0.000
Hg3 0.750 0.250 0.000
Hg4 0.750 0.750 0.000
Os1 0.000 0.500 0.000
Os2 0.500 0.000 0.000

Output
magnetic moment	0.24	μB/atom
total energy	-24.21	eV/cell
symmetry	C2/m (12)


No. 4
First-principles (GGA-PBE) data for an optimized crystal structure of LiDyGe2Ir, as listed in Alexandria via LeMat-Bulk.

a = 4.110 Å, b = 4.110 Å, c = 10.513 Å
α = 90.00°, β = 90.00°, γ = 90.00°
Fractional positions:
Li1 0.000 0.000 0.000
Li2 0.500 0.500 0.500
Dy1 0.000 0.500 0.250
Dy2 0.500 0.000 0.750
Ge1 0.000 0.500 0.631
Ge2 0.000 0.500 0.869
Ge3 0.500 0.000 0.131
Ge4 0.500 0.000 0.369
Ir1 0.000 0.000 0.500
Ir2 0.500 0.500 0.000

Output
magnetic moment	0.00	μB/atom
total energy	-55.79	eV/cell
symmetry	I-4m2 (119)


No. 5
First-principles (GGA-PBE) data for an optimized crystal structure of LaCu2Pt6, as listed in Alexandria via LeMat-Bulk.

a = 7.985 Å, b = 7.985 Å, c = 7.985 Å
α = 60.00°, β = 60.00°, γ = 60.00°
Fractional positions:
La1 0.125 0.125 0.125
La2 0.875 0.875 0.875
Cu1 0.000 0.500 0.500
Cu2 0.500 0.000 0.500
Cu3 0.500 0.500 0.000
Cu4 0.500 0.500 0.500
Pt1 0.123 0.123 0.627
Pt2 0.123 0.627 0.123
Pt3 0.123 0.627 0.627
Pt4 0.373 0.373 0.877
Pt5 0.373 0.877 0.373
Pt6 0.373 0.877 0.877
Pt7 0.627 0.123 0.123
Pt8 0.627 0.123 0.627
Pt9 0.627 0.627 0.123
Pt10 0.877 0.373 0.373
Pt11 0.877 0.373 0.877
Pt12 0.877 0.877 0.373

Output
magnetic moment	0.00	μB/atom
total energy	-99.39	eV/cell
symmetry	Fd-3m (227)


No. 6
First-principles (GGA-PBE) data for an optimized crystal structure of TbPr3Ho2Er6, as listed in Alexandria via LeMat-Bulk.

a = 6.185 Å, b = 6.185 Å, c = 11.754 Å
α = 95.02°, β = 95.02°, γ = 119.97°
Fractional positions:
Tb1 0.000 0.000 0.000
Pr1 0.167 0.833 0.500
Pr2 0.500 0.500 0.500
Pr3 0.833 0.167 0.500
Ho1 0.333 0.667 0.000
Ho2 0.667 0.333 0.000
Er1 0.082 0.415 0.246
Er2 0.252 0.252 0.754
Er3 0.415 0.082 0.246
Er4 0.585 0.918 0.754
Er5 0.748 0.748 0.246
Er6 0.918 0.585 0.754

Output
magnetic moment	0.00	μB/atom
total energy	-55.24	eV/cell
symmetry	C2/m (12)


No. 7
First-principles (GGA-PBE) data for an optimized crystal structure of LiPrEr, as listed in Alexandria via LeMat-Bulk.

a = 4.605 Å, b = 4.605 Å, c = 8.197 Å
α = 90.00°, β = 90.00°, γ = 90.00°
Fractional positions:
Li1 0.250 0.750 0.000
Li2 0.750 0.250 0.000
Pr1 0.250 0.250 0.263
Pr2 0.750 0.750 0.737
Er1 0.250 0.250 0.672
Er2 0.750 0.750 0.328

Output
magnetic moment	0.00	μB/atom
symmetry	P4/nmm (129)
distance to the lowest polymorph of the same formula	0.2622	eV/atom


No. 8
First-principles (GGA-PBE) data for an optimized crystal structure of Cd2Ga3Hg2, as listed in Alexandria via LeMat-Bulk.

a = 3.148 Å, b = 24.700 Å, c = 4.158 Å
α = 90.00°, β = 90.00°, γ = 90.00°
Fractional positions:
Cd1 0.000 0.125 0.000
Cd2 0.000 0.875 0.000
Cd3 0.500 0.375 0.000
Cd4 0.500 0.625 0.000
Ga1 0.000 0.000 0.000
Ga2 0.000 0.443 0.500
Ga3 0.000 0.557 0.500
Ga4 0.500 0.057 0.500
Ga5 0.500 0.500 0.000
Ga6 0.500 0.943 0.500
Hg1 0.000 0.304 0.500
Hg2 0.000 0.696 0.500
Hg3 0.500 0.196 0.500
Hg4 0.500 0.804 0.500

Output
magnetic moment	0.00	μB/atom
total energy	-22.35	eV/cell
symmetry	Cmmm (65)